Entry 1:
A relaxed BaPtAu2 crystal. Source: the Alexandria database, functional PBE.

```
BaPtAu2
1.0
4.726 -0.008 0.007
2.374 4.087 0.007
2.340 1.344 5.439
Au Pt Ba
2 1 1
direct
0.553 0.553 0.342
0.947 0.947 0.158
0.250 0.250 0.250
0.750 0.750 0.750
```

Values from the calculation:
The calculation puts the formation energy at -0.506 eV per atom. The calculation puts the spin magnetization at 0.00 μB/cell. The value obtained for the energy above the most stable polymorph in this dataset is 0.011 eV per atom. For the total energy, the calculation gives -4.1353 eV per atom.

Entry 2:
A relaxed Ba2Pt2Au crystal. Source: the Alexandria database, functional PBE.

```
Ba2Pt2Au
1.0
7.888 0.000 0.000
0.000 7.888 0.000
0.000 0.000 4.484
Au Pt Ba
2 4 4
direct
0.500 0.500 0.000
0.000 0.000 0.000
0.121 0.379 0.000
0.621 0.121 0.000
0.879 0.621 0.000
0.379 0.879 0.000
0.821 0.321 0.500
0.679 0.821 0.500
0.179 0.679 0.500
0.321 0.179 0.500
```

Values from the calculation:
The calculation puts the formation energy at -0.579 eV per atom. The calculation puts the spin magnetization at 0.00 μB/cell. The value obtained for the energy above the most stable polymorph in this dataset is 0.141 eV per atom. For the total energy, the calculation gives -4.4199 eV per atom.

Entry 3:
A relaxed BaPtAu2 crystal. Source: the Alexandria database, functional PBE.

```
BaPtAu2
1.0
0.194 1.904 4.768
-3.524 -1.396 3.468
1.323 -3.037 3.927
Pt Au Ba
1 2 1
direct
0.500 0.500 0.500
0.750 0.750 0.750
0.250 0.250 0.250
0.000 0.000 0.000
```

Values from the calculation:
The calculation puts the formation energy at -0.146 eV per atom. The calculation puts the spin magnetization at 0.00 μB/cell. The value obtained for the energy above the most stable polymorph in this dataset is 0.371 eV per atom. For the total energy, the calculation gives -3.7751 eV per atom.

Entry 4:
A relaxed Ba12Pt5Au crystal. Source: the Alexandria database, functional PBE.

```
Ba12Pt5Au
1.0
7.978 0.000 0.003
3.989 7.063 0.002
0.001 0.000 15.101
Pt Ba Au
5 12 1
direct
0.166 0.668 0.500
0.834 0.332 0.500
0.500 0.000 0.500
0.334 0.332 0.000
0.666 0.668 0.000
0.169 0.333 0.389
0.836 0.000 0.388
0.656 0.347 0.114
0.831 0.667 0.611
0.349 0.000 0.115
0.997 0.347 0.886
0.003 0.653 0.114
0.503 0.667 0.389
0.164 0.000 0.612
0.344 0.653 0.886
0.651 0.000 0.885
0.497 0.333 0.611
0.000 0.000 0.000
```

Values from the calculation:
The calculation puts the formation energy at -0.618 eV per atom. The calculation puts the spin magnetization at 0.00 μB/cell. For the total energy, the calculation gives -3.7600 eV per atom.

Entry 5:
A relaxed Ba4PtAu2 crystal. Source: the Alexandria database, functional PBE.

```
Ba4PtAu2
1.0
5.850 0.000 0.000
0.000 5.850 0.000
2.925 2.925 9.427
Au Ba Pt
2 4 1
direct
0.144 0.144 0.712
0.856 0.856 0.288
0.500 0.000 0.000
0.688 0.688 0.625
0.000 0.500 0.000
0.312 0.312 0.375
0.000 0.000 0.000
```

Values from the calculation:
The calculation puts the formation energy at -0.328 eV per atom. The calculation puts the spin magnetization at 0.00 μB/cell. The value obtained for the energy above the most stable polymorph in this dataset is 0.313 eV per atom. For the total energy, the calculation gives -3.2260 eV per atom.

Entry 6:
A relaxed Ba5PtAu crystal. Source: the Alexandria database, functional PBE.

```
Ba5PtAu
1.0
7.579 1.004 -2.222
-0.348 7.637 -2.222
-0.034 -0.041 12.235
Au Pt Ba
2 2 10
direct
0.931 0.569 0.250
0.069 0.431 0.750
0.500 0.500 0.500
0.000 0.000 0.000
0.421 0.276 0.641
0.152 0.726 0.515
0.774 0.348 0.985
0.579 0.724 0.359
0.224 0.079 0.859
0.256 0.244 0.250
0.744 0.756 0.750
0.226 0.652 0.015
0.848 0.274 0.485
0.776 0.921 0.141
```

Values from the calculation:
The calculation puts the formation energy at -0.430 eV per atom. The calculation puts the spin magnetization at 0.00 μB/cell. For the total energy, the calculation gives -3.1348 eV per atom.